(1)
Cu2Ag | PBE | relaxed

Values from the calculation:
ΔE_f: 0.09 eV/atom
Energy relative to the lowest polymorph listed for this composition: 41 meV/atom
Crystal system: monoclinic
Space group: C2/m, No. 12

a b c (Å): 6.9103 6.9103 7.5457
angles (deg): 117.94 117.94 23.24
Element x y z (fractional)
Cu (0.0743, 0.0743, 0.3472)
Cu (0.1786, 0.1786, 0.0281)
Cu (0.2736, 0.2736, 0.6583)
Cu (0.7264, 0.7264, 0.3417)
Cu (0.8214, 0.8214, 0.9719)
Cu (0.9257, 0.9257, 0.6528)
Ag (0.3946, 0.3946, 0.3188)
Ag (0.5000, 0.5000, 0.0000)
Ag (0.6054, 0.6054, 0.6812)

---

(2)
Pr2FeCoGe2C | PBE | relaxed

Values from the calculation:
Crystal system: monoclinic
Space group: Cm, No. 8
Magnetization: 0.0 μB per formula unit

a b c (Å): 5.8531 5.8531 7.1060
angles (deg): 125.49 125.49 40.52
Element x y z (fractional)
Pr (0.0000, 0.0000, 0.0000)
Pr (0.1167, 0.1167, 0.5924)
Fe (0.7461, 0.7461, 0.3713)
Co (0.3692, 0.3692, 0.2176)
Ge (0.3835, 0.3835, 0.5685)
Ge (0.7325, 0.7325, 0.0233)
C (0.5608, 0.5608, 0.2986)

---

(3)
Al2CdSe2S2 | PBE | relaxed

Values from the calculation:
Crystal system: triclinic
Space group: P1, No. 1

a b c (Å): 5.7302 5.7376 6.5749
angles (deg): 114.94 115.30 90.06
Element x y z (fractional)
Al (0.0000, 0.0000, 0.0000)
Al (0.2365, 0.7617, 0.4997)
Cd (0.4989, 0.5181, 0.9990)
Se (0.3721, 0.3751, 0.2819)
Se (0.6308, 0.1031, 0.7175)
S (0.0995, 0.6555, 0.7344)
S (0.9073, 0.9045, 0.2648)

---

Record-wise total energy values, in eV/atom: -3.332 -6.756 -4.265